Density functional theory data (PBE with a Hubbard U) for an optimized crystal structure of Cs2TaCoO4.

- total energy (eV per atom) = -6.6932

a = 6.947 Å, b = 6.947 Å, c = 8.406 Å
α = 90.00°, β = 90.00°, γ = 128.09°
Positions (direct):
Cs 0.053 0.947 0.500
Cs 0.395 0.605 0.353
Cs 0.605 0.395 0.853
Cs 0.947 0.053 0.000
Ta 0.312 0.688 0.789
Ta 0.688 0.312 0.289
Co 0.217 0.783 0.065
Co 0.783 0.217 0.565
O 0.109 0.389 0.684
O 0.162 0.838 0.816
O 0.372 0.628 0.998
O 0.389 0.109 0.184
O 0.611 0.891 0.684
O 0.628 0.372 0.498
O 0.838 0.162 0.316
O 0.891 0.611 0.184